Record 1
Material: Nd2Dy3Ho
Method: DFT, PBE
State: relaxed

## Properties
DFT formation energy = 192 meV/atom
E above lowest polymorph = 0.095 eV per atom
Crystal system = monoclinic
Total moment = 0.0000 μB/atom

a b c (Å): 10.339 11.468 6.691
angles (deg): 90.00 90.40 90.00
Space group C2/c (No. 15)
Inequivalent atoms, fractional coordinates:
Nd 0.168 0.235 0.248 (multiplicity 8)
Dy 0.000 0.266 0.750 (multiplicity 4)
Dy 0.167 0.499 0.501 (multiplicity 8)
Ho 0.000 0.000 0.000 (multiplicity 4)

Record 2
Material: NaTbSm2Tl4
Method: DFT, PBE
State: relaxed

## Properties
DFT formation energy = -311 meV/atom
Crystal system = trigonal
Total moment = 0.0000 μB/atom

a b c (Å): 5.3733 5.3733 26.8472
angles (deg): 90.00 90.00 120.00
Space group R-3m (No. 166, hexagonal axes)
Inequivalent atoms, fractional coordinates:
Na 0.0000 0.0000 0.0000 (multiplicity 3)
Tb 0.0000 0.0000 0.5000 (multiplicity 3)
Sm 0.0000 0.0000 0.2549 (multiplicity 6)
Tl 0.0000 0.0000 0.1255 (multiplicity 6)
Tl 0.0000 0.0000 0.3756 (multiplicity 6)

Record 3
Material: Li2ScMo
Method: DFT, PBE
State: relaxed

## Properties
DFT formation energy = 453 meV/atom
E above lowest polymorph = 0.226 eV per atom
Crystal system = tetragonal
Total moment = 0.0000 μB/atom

a b c (Å): 2.679 2.679 9.869
angles (deg): 90.00 90.00 90.00
Space group P4/mmm (No. 123)
Inequivalent atoms, fractional coordinates:
Li 0.000 0.000 0.231 (multiplicity 2)
Sc 0.500 0.500 0.500 (multiplicity 1)
Mo 0.500 0.500 0.000 (multiplicity 1)

Record 4
Material: InCo2HCl
Method: DFT, PBE
State: relaxed

## Properties
Crystal system = tetragonal
Total moment = 0.7148 μB/atom

a b c (Å): 3.749 3.749 5.422
angles (deg): 90.00 90.00 90.00
Space group P4/mmm (No. 123)
Inequivalent atoms, fractional coordinates:
In 0.000 0.000 0.000 (multiplicity 1)
Co 0.000 0.500 0.500 (multiplicity 2)
H 0.500 0.500 0.500 (multiplicity 1)
Cl 0.500 0.500 0.000 (multiplicity 1)

Record 5
Material: LaIrRh
Method: DFT, PBE
State: relaxed

## Properties
DFT formation energy = -714 meV/atom
E above lowest polymorph = 0.000 eV per atom
Crystal system = orthorhombic
Total moment = 0.0000 μB/atom

a b c (Å): 5.423 5.471 7.762
angles (deg): 90.00 90.00 90.00
Space group Imma (No. 74)
Inequivalent atoms, fractional coordinates:
La 0.000 0.250 0.124 (multiplicity 4)
Ir 0.250 0.250 0.750 (multiplicity 4)
Rh 0.000 0.000 0.500 (multiplicity 4)

Record 6
Material: Pr12Ag5Os3
Method: DFT, PBE
State: relaxed

## Properties
DFT formation energy = 283 meV/atom
Crystal system = cubic
Total moment = 0.0000 μB/atom

a b c (Å): 17.393 17.393 17.393
angles (deg): 90.00 90.00 90.00
Space group Ia-3d (No. 230)
Inequivalent atoms, fractional coordinates:
Pr 0.019 0.082 0.651 (multiplicity 96)
Ag 0.000 0.000 0.000 (multiplicity 16)
Ag 0.000 0.250 0.375 (multiplicity 24)
Os 0.000 0.250 0.125 (multiplicity 24)

Number 1: DOS at the Fermi energy 1.693 states/eV/atom, calculated total energy -107.061 eV per cell. Number 2: DOS at the Fermi energy 0.666 states/eV/atom, calculated total energy -82.029 eV per cell. Number 3: DOS at the Fermi energy 1.128 states/eV/atom, calculated total energy -19.180 eV per cell. Number 4: DOS at the Fermi energy 0.862 states/eV/atom, calculated total energy -19.618 eV per cell. Number 5: DOS at the Fermi energy 0.732 states/eV/atom, calculated total energy -93.129 eV per cell. Number 6: DOS at the Fermi energy 0.875 states/eV/atom, calculated total energy -797.118 eV per cell.